! Ba2LiGaPb6 (PBE-GGA, optimized geometry); values from VASP
&SYSTEM
  ibrav = 0, nat = 20, ntyp = 4
/
ATOMIC_SPECIES
Ba 137.33 Ba.upf
Li 6.94 Li.upf
Ga 69.72 Ga.upf
Pb 207.20 Pb.upf
CELL_PARAMETERS angstrom
-3.859 3.118 5.645
-7.506 -0.366 0.075
-3.158 -10.621 8.711
ATOMIC_POSITIONS angstrom
Ba -11.151 -1.155 8.024
Ba -3.371 -6.714 6.407
Ba -10.820 -7.223 11.603
Ba -3.703 -0.645 2.828
Li 0.000 0.000 0.000
Li -7.261 -3.934 7.216
Ga -7.396 -1.463 5.758
Ga -7.126 -6.406 8.673
Pb -7.364 -1.525 8.686
Pb -9.458 -3.526 5.488
Pb -5.149 -3.316 5.445
Pb -7.158 -6.343 5.745
Pb -5.064 -4.343 8.943
Pb -9.373 -4.553 8.986
Pb -7.048 -7.434 11.464
Pb -8.631 -8.945 9.047
Pb -5.375 -8.786 9.015
Pb -7.474 -0.435 2.967
Pb -5.892 1.076 5.384
Pb -9.148 0.917 5.416
! Fermi-level density of states = 0.6750 states/eV per atom
! Formation enthalpy at 0 K = -0.25 eV/atom
! Space-group type = R-3m
! Uncorrected energy = -67.13 eV for the cell shown